(1)
TlAg5O6 | Alexandria via LeMat-Bulk | PBE | optimized geometry; total magnetization = 0.000 μB per formula unit; space-group type = No. 12; D(E_F) = 6.69 states/eV/cell; ΔE_f (raw) = -0.137 eV/atom
1.0
6.360 0.632 0.000
2.399 5.845 0.000
1.199 2.922 4.863
Ag O Tl
5 6 1
Cartesian
2.399 5.845 3.347
4.379 3.239 0.000
5.579 6.161 1.683
4.379 3.239 3.180
1.199 2.922 1.516
3.119 3.995 1.517
4.318 6.917 3.346
6.811 5.476 0.000
1.948 1.001 0.000
5.640 2.482 1.517
6.839 5.404 3.346
0.000 0.000 0.000

***

(2)
TlAg3O | Alexandria via LeMat-Bulk | PBE | optimized geometry; total magnetization = 0.000 μB per formula unit; energy relative to the lowest polymorph listed for this composition = 1165 meV per atom; space-group type = No. 221; D(E_F) = 5.03 states/eV/cell; ΔE_f (raw) = 1.221 eV/atom
1.0
-1.337 0.320 5.125
2.195 -4.752 0.869
4.642 2.340 1.065
Tl Ag O
1 3 1
Cartesian
0.000 0.000 0.000
-0.669 0.160 2.562
2.321 1.170 0.533
1.098 -2.376 0.435
2.750 -1.046 3.530

***

(3)
Tl5AgO4 | Alexandria via LeMat-Bulk | PBE | optimized geometry; total magnetization = 0.000 μB per formula unit; space-group type = No. 59; ΔE_f (raw) = -0.479 eV/atom
1.0
-0.857 -5.651 5.023
7.351 1.063 2.450
-3.162 6.431 6.696
O Tl Ag
8 10 2
Cartesian
1.232 -4.499 4.903
4.669 -4.002 6.048
-3.066 -0.726 9.513
-1.710 -3.484 6.641
2.947 1.580 2.955
1.141 5.253 6.779
3.919 3.161 5.998
0.006 2.595 4.694
0.656 0.565 3.542
3.117 4.189 8.040
-2.416 -2.292 8.243
4.617 1.138 4.863
3.653 0.388 1.353
3.971 -1.979 7.184
0.581 -2.469 6.054
-1.080 0.911 9.573
-0.844 3.616 6.720
2.309 1.401 10.703
2.001 3.134 5.118
-0.764 -5.038 4.478

***

(4)
TlAgO2 | Alexandria via LeMat-Bulk | PBE | optimized geometry; total magnetization = 0.000 μB per formula unit; space-group type = No. 160; D(E_F) = 2.73 states/eV/cell; ΔE_f (raw) = -0.344 eV/atom
1.0
3.402 0.000 0.000
1.701 2.946 0.000
1.701 0.982 5.975
Ag Tl O
1 1 2
Cartesian
3.402 1.964 3.043
5.103 2.946 5.968
1.701 0.982 4.688
1.701 0.982 1.238

***

(5)
Tl3AgO3 | Alexandria via LeMat-Bulk | PBE | optimized geometry; total magnetization = 0.000 μB per formula unit; space-group type = No. 63; D(E_F) = 9.09 states/eV/cell; ΔE_f (raw) = -0.379 eV/atom
1.0
-2.375 4.010 -2.177
-6.852 -3.702 0.657
2.530 4.629 5.768
O Tl Ag
6 6 2
Cartesian
-4.296 4.383 3.643
-5.928 -1.353 0.938
-2.072 3.907 0.341
-0.769 6.290 3.310
-2.402 0.555 0.604
-4.626 1.031 3.906
-0.923 2.018 1.685
0.221 4.110 4.291
-5.774 2.920 2.562
-6.919 0.828 -0.043
-2.875 2.434 4.582
-3.823 2.504 -0.334
-2.374 4.864 2.434
-4.324 0.074 1.814

***

(6)
Tl2Ag3O4 | Alexandria via LeMat-Bulk | PBE | optimized geometry; total magnetization = 0.000 μB per formula unit; space-group type = No. 15; D(E_F) = 2.50 states/eV/cell; ΔE_f (raw) = -0.270 eV/atom
1.0
5.837 0.302 0.216
0.531 7.158 -1.613
0.531 0.779 7.296
O Ag Tl
8 6 4
Cartesian
0.781 2.926 6.176
3.700 6.940 0.888
6.117 5.314 -0.277
3.732 5.164 4.742
6.085 2.237 2.646
3.199 1.299 5.011
0.814 6.002 3.253
3.166 3.075 1.157
4.908 3.162 4.446
6.272 7.410 0.174
0.626 0.829 5.725
3.545 5.838 -0.952
1.990 5.077 1.453
3.353 2.401 6.851
4.437 6.364 2.958
1.518 4.700 4.964
2.462 1.875 2.941
5.380 3.539 0.935

***

(7)
UTl3Ag2O6 | Alexandria via LeMat-Bulk | PBE | optimized geometry; total magnetization = 0.000 μB per formula unit; space-group type = No. 12; D(E_F) = 7.87 states/eV/cell; ΔE_f (raw) = -1.260 eV/atom
1.0
6.329 -0.087 0.247
-3.238 5.439 0.247
-0.777 -1.345 6.089
O Tl Ag U
6 3 2 1
Cartesian
-0.730 1.675 1.025
-0.082 -0.141 4.480
0.498 3.802 5.557
1.816 0.205 1.025
3.044 2.331 5.557
2.395 4.148 2.103
1.157 2.003 3.291
4.244 0.220 3.291
-1.930 3.786 3.291
0.027 3.553 0.247
3.064 1.799 0.247
0.000 0.000 0.000

***

(8)
UTl2Ag2O6 | Alexandria via LeMat-Bulk | PBE | optimized geometry; total magnetization = 0.000 μB per formula unit; space-group type = No. 166; D(E_F) = 7.37 states/eV/cell; ΔE_f (raw) = -1.236 eV/atom
1.0
6.468 0.000 0.000
3.234 5.602 0.000
3.234 1.867 5.589
U O Tl Ag
1 6 2 2
Cartesian
0.000 0.000 0.000
4.637 4.791 1.290
8.299 4.791 1.290
4.637 2.677 4.299
6.468 5.848 4.299
6.468 1.620 1.290
8.299 2.677 4.299
3.234 1.867 2.028
9.702 5.602 3.561
6.468 3.734 4.312
6.468 3.734 1.277

***

(9)
UTlAgO5 | Alexandria via LeMat-Bulk | PBE | optimized geometry; total magnetization = 0.000 μB per formula unit; space-group type = No. 15; ΔE_f (raw) = -1.673 eV/atom
1.0
-4.055 0.354 4.390
-0.637 -4.034 -4.377
5.150 -4.404 4.212
U Tl O Ag
2 2 10 2
Cartesian
2.575 -2.202 2.106
0.000 0.000 0.000
0.930 -4.391 4.668
-0.473 -3.693 -0.444
-1.402 -5.415 0.139
-2.998 -3.019 -0.714
3.456 -5.065 4.938
-1.010 -4.467 2.898
0.135 -3.370 6.708
1.859 -2.669 4.085
0.410 -1.912 -0.908
0.323 -4.714 -2.483
1.468 -3.617 1.327
0.048 -6.172 5.132
2.013 -5.781 1.891
-1.555 -2.303 2.334

***

(10)
UTl2AgO6 | Alexandria via LeMat-Bulk | PBE | optimized geometry; total magnetization = 0.000 μB per formula unit; space-group type = No. 1; D(E_F) = 2.48 states/eV/cell; ΔE_f (raw) = -1.415 eV/atom
1.0
5.869 0.004 -0.005
2.938 5.085 -0.007
2.931 1.692 5.390
O Tl Ag U
6 2 1 1
Cartesian
8.019 3.320 1.244
4.189 3.342 4.219
4.736 1.564 1.247
4.862 5.286 1.240
6.663 4.868 4.217
6.747 1.963 4.215
2.932 1.694 5.133
5.870 3.392 2.168
8.801 5.086 3.149
2.935 1.697 0.142

***

(11)
UTlAgO4 | Alexandria via LeMat-Bulk | PBE | optimized geometry; total magnetization = 0.000 μB per formula unit; space-group type = No. 11; ΔE_f (raw) = -1.585 eV/atom
1.0
6.682 0.000 -0.243
0.000 5.356 0.000
-2.902 0.000 7.502
Tl O Ag U
2 8 2 2
Cartesian
1.824 4.017 7.226
1.956 1.339 0.033
2.604 4.017 1.239
-0.471 5.312 2.280
1.722 4.017 4.404
-0.471 2.721 2.280
2.058 1.339 2.855
4.251 2.634 4.979
4.251 0.043 4.979
1.176 1.339 6.020
-0.453 1.339 4.235
4.233 4.017 3.025
2.793 1.339 4.757
0.987 4.017 2.502

***

(12)
U3Tl4AgO12 | Alexandria via LeMat-Bulk | PBE | optimized geometry; total magnetization = 0.000 μB per formula unit; space-group type = No. 229; D(E_F) = 11.18 states/eV/cell; ΔE_f (raw) = -2.101 eV/atom
1.0
-0.867 -6.062 -4.463
1.489 -2.265 7.076
-6.369 4.105 -0.050
O Tl U Ag
12 4 3 1
Cartesian
-4.838 -0.518 -0.500
0.173 -2.312 0.725
-1.355 0.511 1.951
-2.009 -0.543 -1.253
-1.498 -4.653 0.178
-0.909 -3.703 3.063
-2.284 -1.162 4.166
0.449 -6.015 1.887
-3.525 1.329 5.075
-5.227 -1.413 -3.260
-4.249 0.431 2.385
-3.462 -3.060 -1.603
-2.873 -2.111 1.281
-0.434 -3.031 -2.231
-3.184 2.053 -0.025
0.745 -1.133 3.538
-3.618 -0.978 -2.256
0.311 -4.163 1.306
-2.440 0.920 3.513
0.000 0.000 0.000

***

- Which formula does entry 8 have?
  UTl2Ag2O6

***

- Among the records above, which one has the highest ΔE_f (raw)?
  TlAg3O

***

- What is the formula in the ninth record?
  UTlAgO5

***

- Among the records above, which one has the highest ΔE_f (raw)?
  TlAg3O